Material: LaTa2Co
Method: DFT, PBE-GGA
State: optimized geometry

Results
The symmetry is P4/mmm, No. 123. The calculation puts the formation energy at 284 meV per atom. Its energy above the most stable polymorph in this dataset is 141 meV/atom. The value obtained for the volume is 19.55 Å³/atom.

POSCAR file:
```
LaTa2Co
1.0
-1.351 2.854 0.192
-1.996 -1.092 2.196
5.061 2.019 5.604
Co Ta La
1 2 1
Direct
0.500 0.500 0.250 Co
0.000 0.000 0.429 Ta
0.000 0.000 0.071 Ta
0.500 0.500 0.750 La
```